[1]
A plane-wave DFT calculation with PBE was carried out for a relaxed SbINO2 crystal.

```
SbINO2
1.0
4.2142 0.0000 0.0000
0.0000 4.2142 0.0000
0.0000 0.0000 4.2757
Sb I N O
1 1 1 2
Direct
0.0000 0.0000 0.0000 Sb
0.5000 0.5000 0.5000 I
0.5000 0.5000 0.0000 N
0.0000 0.5000 0.5000 O
0.5000 0.0000 0.5000 O
```

**E_form (uncorrected)**: 0.761 eV/atom

---

[2]
A plane-wave DFT calculation with PBE was carried out for a relaxed ScBr2F crystal.

```
ScBr2F
1.0
3.8063 0.0000 0.0000
-1.9032 3.2964 0.0000
0.0000 0.0000 23.6732
Sc Br F
3 6 3
Direct
0.0000 0.0000 0.0000 Sc
0.3333 0.6667 0.6667 Sc
0.6667 0.3333 0.3333 Sc
0.0000 0.0000 0.4001 Br
0.0000 0.0000 0.5999 Br
0.3333 0.6667 0.0668 Br
0.3333 0.6667 0.2666 Br
0.6667 0.3333 0.7334 Br
0.6667 0.3333 0.9332 Br
0.0000 0.0000 0.5000 F
0.3333 0.6667 0.1667 F
0.6667 0.3333 0.8333 F
```

**E_form (uncorrected)**: -1.410 eV/atom
**Offset from the most stable computed form**: 1.051 eV per atom

---

[3]
A plane-wave DFT calculation with PBE was carried out for a relaxed Ca2ErNpN4 crystal.

```
Ca2ErNpN4
1.0
5.9419 0.0000 0.0000
0.0000 3.4897 0.0000
-1.9142 0.0000 5.6894
Ca Er Np N
2 1 1 4
Direct
0.0000 0.0000 0.0000 Ca
0.5000 0.5000 0.0000 Ca
0.0000 0.5000 0.5000 Er
0.5000 0.0000 0.5000 Np
0.2622 0.0000 0.7120 N
0.2672 0.5000 0.2794 N
0.7328 0.5000 0.7206 N
0.7378 0.0000 0.2880 N
```

**E_form (uncorrected)**: -1.331 eV/atom

---

[4]
A plane-wave DFT calculation with PBE was carried out for a relaxed RbNaGa2Te4 crystal.

```
RbNaGa2Te4
1.0
7.5002 0.0000 0.0000
0.0000 9.2004 0.0000
0.0000 0.0000 9.6122
Rb Na Ga Te
2 2 4 8
Direct
0.0000 0.0000 0.0000 Rb
0.5000 0.5000 0.5000 Rb
0.0000 0.0000 0.5000 Na
0.5000 0.5000 0.0000 Na
0.0000 0.5000 0.1739 Ga
0.0000 0.5000 0.8261 Ga
0.5000 0.0000 0.3261 Ga
0.5000 0.0000 0.6739 Ga
0.2402 0.3208 0.8048 Te
0.2402 0.6792 0.1952 Te
0.2599 0.1792 0.3048 Te
0.2599 0.8208 0.6952 Te
0.7402 0.1792 0.6952 Te
0.7402 0.8208 0.3048 Te
0.7598 0.3208 0.1952 Te
0.7598 0.6792 0.8048 Te
```

**E_form (uncorrected)**: -0.411 eV/atom

---

[5]
A plane-wave DFT calculation with PBE was carried out for a relaxed CuC3 crystal.

```
CuC3
1.0
2.5298 0.0000 0.0000
0.0000 4.3806 0.0000
0.0000 0.0000 7.1557
Cu C
2 6
Direct
0.2500 0.2500 0.0864 Cu
0.7500 0.7500 0.9136 Cu
0.2500 0.5749 0.5317 C
0.2500 0.7500 0.7133 C
0.2500 0.9251 0.5317 C
0.7500 0.0749 0.4683 C
0.7500 0.2500 0.2867 C
0.7500 0.4251 0.4683 C
```

**Offset from the most stable computed form**: 0.230 eV per atom

---

[6]
A plane-wave DFT calculation with PBE was carried out for a relaxed PmSm2Hf crystal.

```
PmSm2Hf
1.0
4.0428 0.0000 0.0000
0.0000 4.0428 0.0000
0.0000 0.0000 7.4291
Pm Sm Hf
1 2 1
Direct
0.0000 0.0000 0.0000 Pm
0.5000 0.5000 0.2818 Sm
0.5000 0.5000 0.7182 Sm
0.0000 0.0000 0.5000 Hf
```

**Offset from the most stable computed form**: 0.081 eV per atom

---

| no. | total moment (μB/f.u.) |
| --- | --- |
| 1 | 0.0 |
| 2 | 0.0 |
| 3 | 2.0 |
| 4 | 0.0 |
| 5 | 0.0 |
| 6 | 0.0 |